(1)
Crystalline Cs2KGa at its relaxed geometry, computed with PBE.

ΔH_f (0 K)   0.39 eV per atom
DOS at the Fermi energy   1.2710 states/eV/atom

The structure in CIF format:
```
data_Cs2KGa
_chemical_formula_sum 'Cs6 K3 Ga3'
_cell_length_a 4.6188
_cell_length_b 4.6188
_cell_length_c 47.1655
_cell_angle_alpha 90.00
_cell_angle_beta 90.00
_cell_angle_gamma 120.00
_symmetry_space_group_name_H-M 'R -3 m'
_symmetry_Int_Tables_number 166
_symmetry_space_group_name_Hall '-R 3 2"'
loop_
_atom_site_label
_atom_site_type_symbol
_atom_site_fract_x
_atom_site_fract_y
_atom_site_fract_z
_atom_site_occupancy
Cs1 Cs 0.0000 0.0000 0.0758 1
K1 K 0.0000 0.0000 0.5000 1
Ga1 Ga 0.0000 0.0000 0.0000 1
```

---

(2)
Crystalline CsKGa2 at its relaxed geometry, computed with PBE.

ΔH_f (0 K)   0.32 eV per atom
DOS at the Fermi energy   0.8715 states/eV/atom

The structure in CIF format:
```
data_CsKGa2
_chemical_formula_sum 'Cs4 K4 Ga8'
_cell_length_a 8.540
_cell_length_b 8.540
_cell_length_c 8.540
_cell_angle_alpha 90.00
_cell_angle_beta 90.00
_cell_angle_gamma 90.00
_symmetry_space_group_name_H-M 'F m -3 m'
_symmetry_Int_Tables_number 225
_symmetry_space_group_name_Hall '-F 4 2 3'
loop_
_atom_site_label
_atom_site_type_symbol
_atom_site_fract_x
_atom_site_fract_y
_atom_site_fract_z
_atom_site_occupancy
Cs1 Cs 0.000 0.000 0.000 1
K1 K 0.000 0.000 0.500 1
Ga1 Ga 0.250 0.250 0.250 1
```

---

(3)
Crystalline CsK3Ga at its relaxed geometry, computed with PBE.

ΔH_f (0 K)   0.10 eV per atom
DOS at the Fermi energy   0.9008 states/eV/atom

The structure in CIF format:
```
data_CsK3Ga
_chemical_formula_sum 'Cs1 K3 Ga1'
_cell_length_a 6.903
_cell_length_b 6.903
_cell_length_c 6.903
_cell_angle_alpha 90.00
_cell_angle_beta 90.00
_cell_angle_gamma 90.00
_symmetry_space_group_name_H-M 'P m -3 m'
_symmetry_Int_Tables_number 221
_symmetry_space_group_name_Hall '-P 4 2 3'
loop_
_atom_site_label
_atom_site_type_symbol
_atom_site_fract_x
_atom_site_fract_y
_atom_site_fract_z
_atom_site_occupancy
Cs1 Cs 0.000 0.000 0.000 1
K1 K 0.000 0.500 0.500 1
Ga1 Ga 0.500 0.500 0.500 1
```

---

(4)
Crystalline CsK2NaGa at its relaxed geometry, computed with PBE.

ΔH_f (0 K)   0.09 eV per atom
DOS at the Fermi energy   0.6025 states/eV/atom

The structure in CIF format:
```
data_CsK2NaGa
_chemical_formula_sum 'Cs1 K2 Na1 Ga1'
_cell_length_a 6.835
_cell_length_b 6.835
_cell_length_c 6.157
_cell_angle_alpha 90.00
_cell_angle_beta 90.00
_cell_angle_gamma 90.00
_symmetry_space_group_name_H-M 'P 4/m m m'
_symmetry_Int_Tables_number 123
_symmetry_space_group_name_Hall '-P 4 2'
loop_
_atom_site_label
_atom_site_type_symbol
_atom_site_fract_x
_atom_site_fract_y
_atom_site_fract_z
_atom_site_occupancy
Cs1 Cs 0.000 0.000 0.000 1
K1 K 0.000 0.500 0.500 1
Na1 Na 0.500 0.500 0.000 1
Ga1 Ga 0.500 0.500 0.500 1
```

---

(5)
Crystalline CsK2NaGa at its relaxed geometry, computed with PBE.

ΔH_f (0 K)   0.20 eV per atom
DOS at the Fermi energy   1.0489 states/eV/atom

The structure in CIF format:
```
data_CsK2NaGa
_chemical_formula_sum 'Cs1 K2 Na1 Ga1'
_cell_length_a 7.036
_cell_length_b 7.036
_cell_length_c 5.841
_cell_angle_alpha 90.00
_cell_angle_beta 90.00
_cell_angle_gamma 90.00
_symmetry_space_group_name_H-M 'P 4/m m m'
_symmetry_Int_Tables_number 123
_symmetry_space_group_name_Hall '-P 4 2'
loop_
_atom_site_label
_atom_site_type_symbol
_atom_site_fract_x
_atom_site_fract_y
_atom_site_fract_z
_atom_site_occupancy
Cs1 Cs 0.000 0.000 0.000 1
K1 K 0.000 0.500 0.500 1
Na1 Na 0.500 0.500 0.500 1
Ga1 Ga 0.500 0.500 0.000 1
```

---

(6)
Crystalline CsK2GaOs at its relaxed geometry, computed with PBE.

ΔH_f (0 K)   1.34 eV per atom
DOS at the Fermi energy   1.6023 states/eV/atom

The structure in CIF format:
```
data_CsK2GaOs
_chemical_formula_sum 'Cs1 K2 Ga1 Os1'
_cell_length_a 6.411
_cell_length_b 6.411
_cell_length_c 5.679
_cell_angle_alpha 90.00
_cell_angle_beta 90.00
_cell_angle_gamma 90.00
_symmetry_space_group_name_H-M 'P 4/m m m'
_symmetry_Int_Tables_number 123
_symmetry_space_group_name_Hall '-P 4 2'
loop_
_atom_site_label
_atom_site_type_symbol
_atom_site_fract_x
_atom_site_fract_y
_atom_site_fract_z
_atom_site_occupancy
Cs1 Cs 0.000 0.000 0.000 1
K1 K 0.000 0.500 0.500 1
Ga1 Ga 0.500 0.500 0.000 1
Os1 Os 0.000 0.000 0.500 1
```

---

> What is the formula in the first record?

Cs2KGa